Record 1
# CdGa2Hg6 (GGA-PBE, relaxed)
# E_form   0.062 eV/atom
# Magnetization   0.00 μB/cell
# Crystal system   monoclinic
# SG   C2/m (12)
# Density   10.64 g cm⁻³
data_CdGa2Hg6
_cell_length_a 3.356
_cell_length_b 6.706
_cell_length_c 10.559
_cell_angle_alpha 87.51
_cell_angle_beta 80.86
_cell_angle_gamma 75.51
_space_group_name_H-M_alt 'P 1'
_space_group_IT_number 1
loop_
_space_group_symop_operation_xyz
'x,y,z'
loop_
_atom_site_label
_atom_site_type_symbol
_atom_site_fract_x
_atom_site_fract_y
_atom_site_fract_z
Hg1 Hg 0.288 0.546 0.878
Hg2 Hg 0.640 0.273 0.447
Hg3 Hg 0.712 0.454 0.122
Hg4 Hg 0.360 0.727 0.553
Hg5 Hg 0.022 0.254 0.702
Hg6 Hg 0.978 0.746 0.298
Ga1 Ga 0.673 0.888 0.765
Ga2 Ga 0.327 0.112 0.235
Cd1 Cd 0.000 0.000 0.000

---

Record 2
# TaNiAs2 (GGA-PBE, relaxed)
# E_form   -0.134 eV/atom
# Magnetization   0.00 μB/cell
# Crystal system   orthorhombic
# SG   Cmm2 (35)
# Density   8.95 g cm⁻³
data_TaNiAs2
_cell_length_a 2.899
_cell_length_b 2.899
_cell_length_c 8.596
_cell_angle_alpha 90.00
_cell_angle_beta 90.00
_cell_angle_gamma 89.81
_space_group_name_H-M_alt 'P 1'
_space_group_IT_number 1
loop_
_space_group_symop_operation_xyz
'x,y,z'
loop_
_atom_site_label
_atom_site_type_symbol
_atom_site_fract_x
_atom_site_fract_y
_atom_site_fract_z
As1 As 0.000 0.000 0.943
As2 As 0.500 0.500 0.342
Ta1 Ta 0.500 0.500 0.710
Ni1 Ni 0.000 0.000 0.505

---

Record 3
# Tl5Hg6Bi2 (GGA-PBE, relaxed)
# E_form   -0.007 eV/atom
# Magnetization   0.00 μB/cell
# Crystal system   triclinic
# SG   P-1 (2)
# Density   11.18 g cm⁻³
data_Tl5Hg6Bi2
_cell_length_a 8.438
_cell_length_b 10.928
_cell_length_c 9.112
_cell_angle_alpha 33.62
_cell_angle_beta 113.40
_cell_angle_gamma 122.06
_space_group_name_H-M_alt 'P 1'
_space_group_IT_number 1
loop_
_space_group_symop_operation_xyz
'x,y,z'
loop_
_atom_site_label
_atom_site_type_symbol
_atom_site_fract_x
_atom_site_fract_y
_atom_site_fract_z
Bi1 Bi 0.258 0.064 0.700
Bi2 Bi 0.742 0.936 0.300
Hg1 Hg 0.611 0.152 0.526
Hg2 Hg 0.171 0.583 0.367
Hg3 Hg 0.389 0.848 0.474
Hg4 Hg 0.829 0.417 0.633
Hg5 Hg 0.947 0.289 0.299
Hg6 Hg 0.053 0.711 0.701
Tl1 Tl 0.496 0.330 0.837
Tl2 Tl 0.235 0.301 0.109
Tl3 Tl 0.000 0.000 0.000
Tl4 Tl 0.504 0.670 0.163
Tl5 Tl 0.765 0.699 0.891

---

Record 4
# Zr3Cl (GGA-PBE, relaxed)
# Magnetization   0.00 μB/cell
# Crystal system   cubic
# SG   Fm-3m (225)
# Uncorrected energy   -6.5086 eV per atom
# Density   5.94 g cm⁻³
data_Zr3Cl
_cell_length_a 4.962
_cell_length_b 4.962
_cell_length_c 4.962
_cell_angle_alpha 60.00
_cell_angle_beta 60.00
_cell_angle_gamma 60.00
_space_group_name_H-M_alt 'P 1'
_space_group_IT_number 1
loop_
_space_group_symop_operation_xyz
'x,y,z'
loop_
_atom_site_label
_atom_site_type_symbol
_atom_site_fract_x
_atom_site_fract_y
_atom_site_fract_z
Zr1 Zr 0.250 0.250 0.250
Zr2 Zr 0.750 0.750 0.750
Zr3 Zr 0.500 0.500 0.500
Cl1 Cl 0.000 0.000 0.000

---

Record 5
# TaTi2SnC (GGA-PBE, relaxed)
# E_form   -0.375 eV/atom
# Magnetization   0.01 μB/cell
# Crystal system   tetragonal
# SG   P4/mmm (123)
# Density   8.55 g cm⁻³
data_TaTi2SnC
_cell_length_a 4.328
_cell_length_b 4.328
_cell_length_c 4.224
_cell_angle_alpha 90.00
_cell_angle_beta 90.00
_cell_angle_gamma 90.00
_space_group_name_H-M_alt 'P 1'
_space_group_IT_number 1
loop_
_space_group_symop_operation_xyz
'x,y,z'
loop_
_atom_site_label
_atom_site_type_symbol
_atom_site_fract_x
_atom_site_fract_y
_atom_site_fract_z
Ti1 Ti 0.500 0.000 0.000
Ti2 Ti 0.000 0.500 0.000
Sn1 Sn 0.500 0.500 0.500
Ta1 Ta 0.000 0.000 0.500
C1 C 0.000 0.000 0.000

---

Record 6
# DyAgAu2 (GGA-PBE, relaxed)
# E_form   -0.462 eV/atom
# Magnetization   0.00 μB/cell
# Crystal system   tetragonal
# SG   P4/mmm (123)
# Density   13.27 g cm⁻³
data_DyAgAu2
_cell_length_a 3.966
_cell_length_b 4.579
_cell_length_c 4.579
_cell_angle_alpha 90.00
_cell_angle_beta 90.00
_cell_angle_gamma 90.00
_space_group_name_H-M_alt 'P 1'
_space_group_IT_number 1
loop_
_space_group_symop_operation_xyz
'x,y,z'
loop_
_atom_site_label
_atom_site_type_symbol
_atom_site_fract_x
_atom_site_fract_y
_atom_site_fract_z
Au1 Au 0.000 0.000 0.500
Au2 Au 0.000 0.500 0.000
Dy1 Dy 0.500 0.500 0.500
Ag1 Ag 0.500 0.000 0.000

---

magnetization of number 2 (TaNiAs2)?
0.00 μB/cell

---

Which value of magnetization does entry 3 give?
0.00 μB/cell

---

Repeat the third record exactly.
# Tl5Hg6Bi2 (GGA-PBE, relaxed)
# E_form   -0.007 eV/atom
# Magnetization   0.00 μB/cell
# Crystal system   triclinic
# SG   P-1 (2)
# Density   11.18 g cm⁻³
data_Tl5Hg6Bi2
_cell_length_a 8.438
_cell_length_b 10.928
_cell_length_c 9.112
_cell_angle_alpha 33.62
_cell_angle_beta 113.40
_cell_angle_gamma 122.06
_space_group_name_H-M_alt 'P 1'
_space_group_IT_number 1
loop_
_space_group_symop_operation_xyz
'x,y,z'
loop_
_atom_site_label
_atom_site_type_symbol
_atom_site_fract_x
_atom_site_fract_y
_atom_site_fract_z
Bi1 Bi 0.258 0.064 0.700
Bi2 Bi 0.742 0.936 0.300
Hg1 Hg 0.611 0.152 0.526
Hg2 Hg 0.171 0.583 0.367
Hg3 Hg 0.389 0.848 0.474
Hg4 Hg 0.829 0.417 0.633
Hg5 Hg 0.947 0.289 0.299
Hg6 Hg 0.053 0.711 0.701
Tl1 Tl 0.496 0.330 0.837
Tl2 Tl 0.235 0.301 0.109
Tl3 Tl 0.000 0.000 0.000
Tl4 Tl 0.504 0.670 0.163
Tl5 Tl 0.765 0.699 0.891

---

What is the formula in the second record?
TaNiAs2